# FeMoIr2F, relaxed, DFT PBE+U
data_FeMoIr2F
_symmetry_space_group_name_H-M 'P 4/m m m'
_symmetry_Int_Tables_number 123
_symmetry_space_group_name_Hall '-P 4 2'
_cell_length_a 4.6580
_cell_length_b 4.6580
_cell_length_c 5.2951
_cell_angle_alpha 90.00
_cell_angle_beta 90.00
_cell_angle_gamma 90.00
loop_
_atom_site_label
_atom_site_fract_x
_atom_site_fract_y
_atom_site_fract_z
Fe1 0.0000 0.0000 0.0000
Mo1 0.0000 0.0000 0.5000
Ir1 0.0000 0.5000 0.5000
F1 0.5000 0.5000 0.0000
# Total energy ... -23.518 eV for the cell shown
# Size of the total moment ... 3.28 μB per formula unit
# V ... 114.9 Å³ per cell
# Mass density ... 8.0 g cm⁻³